Computed, not measured: a geometry-optimized Sr2TlF6 structure at the PBE level of DFT.

Properties
- DOS at the Fermi energy: 6.1 states/eV per cell
- Electronic total energy: -5.0040 eV/atom
- Symmetry: No. 136
- Uncorrected formation energy: -3.120 eV/atom
- Crystal system: tetragonal

Lattice parameters (Å, degrees): 5.5537 5.5537 11.6691 90.00 90.00 90.00
Closest atoms and distances in Å follow each position.
Atoms (fractional coordinates):
Sr 0.0000 0.0000 0.1664  6 F 2.43-2.46
Sr 0.0000 0.0000 0.8336  6 F 2.43-2.46
Sr 0.5000 0.5000 0.3336  6 F 2.43-2.46
Sr 0.5000 0.5000 0.6664  6 F 2.43-2.46
Tl 0.0000 0.0000 0.5000  6 F 2.42-2.46
Tl 0.5000 0.5000 0.0000  6 F 2.42-2.46
F 0.1908 0.1908 0.3326  2 Sr 2.43-2.45, 1 Tl 2.46
F 0.1908 0.1908 0.6674  2 Sr 2.43-2.45, 1 Tl 2.46
F 0.1917 0.1917 0.0000  1 Tl 2.42, 2 Sr 2.46
F 0.3083 0.6917 0.5000  1 Tl 2.42, 2 Sr 2.46
F 0.3092 0.6908 0.1674  2 Sr 2.43-2.45, 1 Tl 2.46
F 0.3092 0.6908 0.8326  2 Sr 2.43-2.45, 1 Tl 2.46
F 0.6908 0.3092 0.1674  2 Sr 2.43-2.45, 1 Tl 2.46
F 0.6908 0.3092 0.8326  2 Sr 2.43-2.45, 1 Tl 2.46
F 0.6917 0.3083 0.5000  1 Tl 2.42, 2 Sr 2.46
F 0.8083 0.8083 0.0000  1 Tl 2.42, 2 Sr 2.46
F 0.8092 0.8092 0.3326  2 Sr 2.43-2.45, 1 Tl 2.46
F 0.8092 0.8092 0.6674  2 Sr 2.43-2.45, 1 Tl 2.46



Computed, not measured: a geometry-optimized Sr2TlF structure at the PBE level of DFT.

Properties
- DOS at the Fermi energy: 3.1 states/eV per cell
- Electronic total energy: -2.9511 eV/atom
- Symmetry: No. 225
- Uncorrected formation energy: -1.051 eV/atom
- Crystal system: cubic

Lattice parameters (Å, degrees): 5.5954 5.5954 5.5954 60.00 60.00 60.00
Closest atoms and distances in Å follow each position.
Atoms (fractional coordinates):
Sr 0.2500 0.2500 0.2500  4 F 3.43, 4 Tl 3.43
Sr 0.7500 0.7500 0.7500  4 F 3.43, 4 Tl 3.43
Tl 0.0000 0.0000 0.0000  8 Sr 3.43
F 0.5000 0.5000 0.5000  8 Sr 3.43



Computed, not measured: a geometry-optimized SrTl3F structure at the PBE level of DFT.

Properties
- DOS at the Fermi energy: 3.2 states/eV per cell
- Electronic total energy: -2.8670 eV/atom
- Symmetry: No. 221
- Uncorrected formation energy: -0.737 eV/atom
- Crystal system: cubic

Lattice parameters (Å, degrees): 5.3134 5.3134 5.3134 90.00 90.00 90.00
Closest atoms and distances in Å follow each position.
Atoms (fractional coordinates):
Sr 0.0000 0.0000 0.0000  12 Tl 3.76
Tl 0.0000 0.5000 0.5000  2 F 2.66
Tl 0.5000 0.0000 0.5000  2 F 2.66
Tl 0.5000 0.5000 0.0000  2 F 2.66
F 0.5000 0.5000 0.5000  6 Tl 2.66



Computed, not measured: a geometry-optimized SrTl2F8 structure at the PBE level of DFT.

Properties
- DOS at the Fermi energy: 0.0 states/eV per cell
- Electronic total energy: -4.2475 eV/atom
- Symmetry: No. 147
- Uncorrected formation energy: -2.303 eV/atom
- Crystal system: trigonal

Lattice parameters (Å, degrees): 7.3361 7.3361 4.4606 90.00 90.00 120.00
Closest atoms and distances in Å follow each position.
Atoms (fractional coordinates):
Sr 0.0000 0.0000 0.0000  6 F 2.43
Tl 0.3333 0.6667 0.2660  5 F 2.10-2.23
Tl 0.6667 0.3333 0.7340  5 F 2.10-2.23
F 0.1663 0.8306 0.2635  1 Tl 2.10
F 0.1694 0.3356 0.2635  1 Tl 2.10
F 0.3333 0.6667 0.7651  2 Tl 2.23
F 0.3356 0.1663 0.7365  1 Tl 2.10
F 0.6644 0.8337 0.2635  1 Tl 2.10
F 0.6667 0.3333 0.2349  2 Tl 2.23
F 0.8306 0.6644 0.7365  1 Tl 2.10
F 0.8337 0.1694 0.7365  1 Tl 2.10



Computed, not measured: a geometry-optimized SrTlF4 structure at the PBE level of DFT.

Properties
- DOS at the Fermi energy: 2.5 states/eV per cell
- Electronic total energy: -4.7499 eV/atom
- Symmetry: No. 141
- Uncorrected formation energy: -2.828 eV/atom
- Crystal system: tetragonal

Lattice parameters (Å, degrees): 7.2043 7.2043 7.2043 132.26 132.26 69.82
Closest atoms and distances in Å follow each position.
Atoms (fractional coordinates):
Sr 0.3750 0.6250 0.7500  8 F 2.54
Sr 0.6250 0.3750 0.2500  8 F 2.54
Tl 0.1250 0.8750 0.2500  8 F 2.53
Tl 0.8750 0.1250 0.7500  8 F 2.53
F 0.0000 0.2477 0.2477  2 Tl 2.53, 2 Sr 2.54
F 0.0000 0.7523 0.7523  2 Tl 2.53, 2 Sr 2.54
F 0.2477 0.0000 0.7477  2 Tl 2.53, 2 Sr 2.54
F 0.2477 0.5000 0.2477  2 Tl 2.53, 2 Sr 2.54
F 0.5000 0.2477 0.7477  2 Tl 2.53, 2 Sr 2.54
F 0.5000 0.7523 0.2523  2 Tl 2.53, 2 Sr 2.54
F 0.7523 0.0000 0.2523  2 Tl 2.53, 2 Sr 2.54
F 0.7523 0.5000 0.7523  2 Tl 2.53, 2 Sr 2.54



Computed, not measured: a geometry-optimized SrTlF structure at the PBE level of DFT.

Properties
- DOS at the Fermi energy: 0.3 states/eV per cell
- Electronic total energy: -3.9805 eV/atom
- Symmetry: No. 166
- Uncorrected formation energy: -2.007 eV/atom
- Crystal system: trigonal

Lattice parameters (Å, degrees): 10.8139 10.8139 10.8139 22.06 22.06 22.06
Closest atoms and distances in Å follow each position.
Atoms (fractional coordinates):
Sr 0.1127 0.1127 0.1127  4 F 2.54-2.55
Sr 0.8873 0.8873 0.8873  4 F 2.54-2.55
Tl 0.3661 0.3661 0.3661  3 Tl 3.16, 3 Sr 3.48
Tl 0.6339 0.6339 0.6339  3 Tl 3.16, 3 Sr 3.48
F 0.1933 0.1933 0.1933  4 Sr 2.54-2.55
F 0.8067 0.8067 0.8067  4 Sr 2.54-2.55



Computed, not measured: a geometry-optimized Sr2TlF structure at the PBE level of DFT.

Properties
- DOS at the Fermi energy: 0.9 states/eV per cell
- Electronic total energy: -3.4326 eV/atom
- Symmetry: No. 122
- Uncorrected formation energy: -1.532 eV/atom
- Crystal system: tetragonal

Lattice parameters (Å, degrees): 6.9378 6.9378 6.9378 112.99 112.99 102.63
Closest atoms and distances in Å follow each position.
Atoms (fractional coordinates):
Sr 0.0330 0.6250 0.9080  2 F 2.51
Sr 0.3750 0.2830 0.4080  2 F 2.51
Sr 0.7170 0.1250 0.0920  2 F 2.51
Sr 0.8750 0.9670 0.5920  2 F 2.51
Tl 0.2500 0.7500 0.5000  4 Sr 3.42
Tl 0.5000 0.5000 0.0000  4 Sr 3.42
F 0.0000 0.0000 0.0000  4 Sr 2.51
F 0.7500 0.2500 0.5000  4 Sr 2.51



Computed, not measured: a geometry-optimized SrTl2F structure at the PBE level of DFT.

Properties
- DOS at the Fermi energy: 2.3 states/eV per cell
- Electronic total energy: -3.2012 eV/atom
- Symmetry: No. 122
- Uncorrected formation energy: -1.130 eV/atom
- Crystal system: tetragonal

Lattice parameters (Å, degrees): 13.8969 13.8969 13.8969 162.76 162.76 24.47
Closest atoms and distances in Å follow each position.
Atoms (fractional coordinates):
Sr 0.0000 0.0000 0.0000  4 F 2.94
Sr 0.7500 0.2500 0.5000  4 F 2.94
Tl 0.1245 0.6250 0.9995  4 Tl 2.94-2.95
Tl 0.3750 0.3745 0.4995  4 Tl 2.94-2.95
Tl 0.6255 0.1250 0.0005  4 Tl 2.94-2.95
Tl 0.8750 0.8755 0.5005  4 Tl 2.94-2.95
F 0.2500 0.7500 0.5000  4 Sr 2.94
F 0.5000 0.5000 0.0000  4 Sr 2.94



Computed, not measured: a geometry-optimized SrTl2F11 structure at the PBE level of DFT.

Properties
- DOS at the Fermi energy: 17.2 states/eV per cell
- Electronic total energy: -3.6628 eV/atom
- Symmetry: No. 72
- Uncorrected formation energy: -1.734 eV/atom
- Crystal system: orthorhombic

Lattice parameters (Å, degrees): 8.9991 8.9991 8.9991 122.51 113.89 93.30
Closest atoms and distances in Å follow each position.
Atoms (fractional coordinates):
Sr 0.2500 0.2500 0.0000  8 F 2.50-2.52
Sr 0.7500 0.7500 0.0000  8 F 2.50-2.52
Tl 0.1907 0.6778 0.8685  7 F 2.17-2.42
Tl 0.3093 0.1778 0.4871  7 F 2.17-2.42
Tl 0.6907 0.8222 0.5129  7 F 2.17-2.42
Tl 0.8093 0.3222 0.1315  7 F 2.17-2.42
F 0.0000 0.5000 0.5000  2 F 2.17, 2 Tl 2.42
F 0.0354 0.0033 0.3087  1 Tl 2.18, 1 F 2.43
F 0.0595 0.3447 0.1522  1 Tl 2.17, 1 F 2.43
F 0.1925 0.9073 0.8478  1 Tl 2.17, 1 F 2.43
F 0.1946 0.5033 0.9680  1 Tl 2.18, 1 F 2.43
F 0.2081 0.4169 0.6250  1 F 2.17, 2 Tl 2.26-2.30
F 0.2919 0.9169 0.2088  1 F 2.17, 2 Tl 2.26-2.30
F 0.3054 0.2734 0.3087  1 Tl 2.18, 1 F 2.43
F 0.3075 0.1553 0.7148  1 Tl 2.17, 1 F 2.43
F 0.4405 0.5927 0.2852  1 Tl 2.17, 1 F 2.43
F 0.4646 0.7734 0.9680  1 Tl 2.18, 1 F 2.43
F 0.5000 0.0000 0.5000  2 F 2.17, 2 Tl 2.42
F 0.5354 0.2266 0.0320  1 Tl 2.18, 1 F 2.43
F 0.5595 0.4073 0.7148  1 Tl 2.17, 1 F 2.43
F 0.6925 0.8447 0.2852  1 Tl 2.17, 1 F 2.43
F 0.6946 0.7266 0.6913  1 Tl 2.18, 1 F 2.43
F 0.7081 0.0831 0.7912  1 F 2.17, 2 Tl 2.26-2.30
F 0.7919 0.5831 0.3750  1 F 2.17, 2 Tl 2.26-2.30
F 0.8054 0.4967 0.0320  1 Tl 2.18, 1 F 2.43
F 0.8075 0.0927 0.1522  1 Tl 2.17, 1 F 2.43
F 0.9405 0.6553 0.8478  1 Tl 2.17, 1 F 2.43
F 0.9646 0.9967 0.6913  1 Tl 2.18, 1 F 2.43



| no. | size of the total moment (Bohr magnetons per cell) |
| --- | --- |
| 1 | 1.76 |
| 2 | 1.76 |
| 3 | 0.00 |
| 4 | 0.00 |
| 5 | 0.00 |
| 6 | 0.00 |
| 7 | 0.00 |
| 8 | 0.00 |
| 9 | 6.06 |